Entry 1:
Here is Ca2CdIn at its PBEsol-relaxed geometry from Alexandria. Energies are from SCAN.

The energy above the most stable polymorph in this dataset is 123 meV per atom. The volume is 27.61 Å³/atom.

a b c (Å): 3.610 5.484 6.198
angles (deg): 108.91 106.93 90.00
Fractional coordinates of all 4 atoms:
Cd 0.522 0.479 0.044
Ca 0.979 0.954 0.958
Ca 0.774 0.299 0.547
In 0.225 0.768 0.451

---

Entry 2:
Here is Ca2CdIn at its PBEsol-relaxed geometry from Alexandria. Energies are from SCAN.

The energy above the most stable polymorph in this dataset is 0 meV per atom. The volume is 26.87 Å³/atom.

a b c (Å): 5.337 5.337 5.337
angles (deg): 60.00 60.00 60.00
Fractional coordinates of all 4 atoms:
Cd 0.000 0.000 0.000
In 0.500 0.500 0.500
Ca 0.250 0.250 0.250
Ca 0.750 0.750 0.750

---

Entry 3:
Here is CaCd2In at its PBEsol-relaxed geometry from Alexandria. Energies are from SCAN.

The volume is 24.64 Å³/atom. The energy comes out at -26.2768 eV per atom.

a b c (Å): 3.358 4.985 5.888
angles (deg): 90.00 90.07 90.00
Fractional coordinates of all 4 atoms:
Cd 0.501 0.000 0.743
Cd 0.499 0.000 0.257
Ca 0.000 0.500 0.500
In 0.500 0.500 0.000

---

Entry 4:
Here is CaCd2In at its PBEsol-relaxed geometry from Alexandria. Energies are from SCAN.

The volume is 23.06 Å³/atom. The energy comes out at -26.2821 eV per atom.

a b c (Å): 5.083 5.065 5.083
angles (deg): 120.12 90.00 120.12
Fractional coordinates of all 4 atoms:
Cd 0.750 0.500 0.250
Cd 0.000 0.000 0.000
In 0.500 0.000 0.500
Ca 0.250 0.500 0.750

---

Entry 5:
Here is CaCd2In2 at its PBEsol-relaxed geometry from Alexandria. Energies are from SCAN.

The volume is 25.18 Å³/atom. The energy comes out at -27.7841 eV per atom.

a b c (Å): 4.480 4.480 7.026
angles (deg): 108.59 108.59 90.00
Fractional coordinates of all 5 atoms:
In 0.609 0.609 0.219
In 0.391 0.391 0.781
Cd 0.250 0.750 0.500
Cd 0.750 0.250 0.500
Ca 0.000 0.000 0.000

---

Entry 6:
Here is Ca2CdIn at its PBEsol-relaxed geometry from Alexandria. Energies are from SCAN.

The energy above the most stable polymorph in this dataset is 3 meV per atom. The volume is 26.84 Å³/atom.

a b c (Å): 3.708 5.369 5.394
angles (deg): 90.00 90.00 90.00
Fractional coordinates of all 4 atoms:
Cd 0.500 0.000 0.603
Ca 0.000 0.000 0.114
Ca 0.000 0.500 0.638
In 0.500 0.500 0.145

---

Entry 7:
Here is Ca3CdIn at its PBEsol-relaxed geometry from Alexandria. Energies are from SCAN.

The volume is 40.77 Å³/atom. The energy comes out at -18.5486 eV per atom.

a b c (Å): 5.885 5.885 5.885
angles (deg): 90.00 90.00 90.00
Fractional coordinates of all 5 atoms:
In 0.000 0.000 0.000
Ca 0.500 0.000 0.000
Ca 0.000 0.000 0.500
Ca 0.000 0.500 0.000
Cd 0.500 0.500 0.500

---

Entry 8:
Here is CaCdIn at its PBEsol-relaxed geometry from Alexandria. Energies are from SCAN.

The volume is 28.56 Å³/atom. The energy comes out at -24.8054 eV per atom.

a b c (Å): 4.948 4.948 4.948
angles (deg): 60.00 60.00 60.00
Fractional coordinates of all 3 atoms:
Ca 0.000 0.000 0.000
Cd 0.500 0.500 0.500
In 0.250 0.250 0.250

---

Entry 9:
Here is Ca2CdIn at its PBEsol-relaxed geometry from Alexandria. Energies are from SCAN.

The energy above the most stable polymorph in this dataset is 209 meV per atom. The volume is 27.24 Å³/atom.

a b c (Å): 4.684 4.684 5.969
angles (deg): 113.10 113.10 90.00
Fractional coordinates of all 4 atoms:
Ca 0.750 0.250 0.500
Ca 0.000 0.000 0.000
In 0.250 0.750 0.500
Cd 0.500 0.500 0.000

---

Entry 10:
Here is RbCa2CdIn at its PBEsol-relaxed geometry from Alexandria. Energies are from SCAN.

The volume is 48.36 Å³/atom. The energy comes out at -20.6198 eV per atom.

a b c (Å): 6.008 6.008 6.698
angles (deg): 90.00 90.00 90.00
Fractional coordinates of all 5 atoms:
In 0.000 0.000 0.000
Cd 0.500 0.500 0.500
Ca 0.000 0.500 0.000
Ca 0.500 0.000 0.000
Rb 0.000 0.000 0.500

---

Entry 11:
Here is CaCdIr at its PBEsol-relaxed geometry from Alexandria. Energies are from SCAN.

The volume is 20.21 Å³/atom. The energy comes out at -37.2001 eV per atom.

a b c (Å): 3.214 4.668 4.668
angles (deg): 120.00 90.00 90.00
Fractional coordinates of all 3 atoms:
Ca 0.000 0.000 0.000
Ir 0.500 0.667 0.333
Cd 0.500 0.333 0.667

---

Entry 12:
Here is CaCdIr2 at its PBEsol-relaxed geometry from Alexandria. Energies are from SCAN.

The volume is 16.99 Å³/atom. The energy comes out at -45.3173 eV per atom.

a b c (Å): 2.841 2.841 9.176
angles (deg): 90.00 90.00 113.43
Fractional coordinates of all 4 atoms:
Ca 0.500 0.500 0.500
Cd 0.500 0.500 0.000
Ir 0.000 0.000 0.752
Ir 0.000 0.000 0.248

---

Entry 13:
Here is CaCdIr2 at its PBEsol-relaxed geometry from Alexandria. Energies are from SCAN.

The volume is 17.04 Å³/atom. The energy comes out at -45.3449 eV per atom.

a b c (Å): 2.929 2.929 9.329
angles (deg): 80.97 80.97 60.00
Fractional coordinates of all 4 atoms:
Ir 0.749 0.749 0.754
Ir 0.251 0.251 0.246
Cd 0.000 0.000 0.000
Ca 0.500 0.500 0.500

---

Entry 14:
Here is CaCdIr2 at its PBEsol-relaxed geometry from Alexandria. Energies are from SCAN.

The volume is 17.05 Å³/atom. The energy comes out at -45.4502 eV per atom.

a b c (Å): 3.037 4.603 4.878
angles (deg): 90.00 90.00 90.00
Fractional coordinates of all 4 atoms:
Ir 0.500 0.000 0.500
Ir 0.000 0.000 0.000
Cd 0.000 0.500 0.500
Ca 0.500 0.500 0.000

---

Entry 15:
Here is Ca3CdIr at its PBEsol-relaxed geometry from Alexandria. Energies are from SCAN.

The volume is 31.35 Å³/atom. The energy comes out at -26.3542 eV per atom.

a b c (Å): 5.392 5.392 5.392
angles (deg): 90.00 90.00 90.00
Fractional coordinates of all 5 atoms:
Ca 0.000 0.500 0.000
Ca 0.000 0.000 0.500
Ca 0.500 0.000 0.000
Cd 0.500 0.500 0.500
Ir 0.000 0.000 0.000

---

Entry 16:
Here is KCaCd4 at its PBEsol-relaxed geometry from Alexandria. Energies are from SCAN.

The volume is 25.78 Å³/atom. The energy comes out at -23.4832 eV per atom.

a b c (Å): 6.025 6.025 6.025
angles (deg): 60.00 60.00 60.00
Fractional coordinates of all 6 atoms:
Ca 0.000 0.000 0.000
Cd 0.375 0.375 0.876
Cd 0.876 0.375 0.375
Cd 0.375 0.375 0.375
Cd 0.375 0.876 0.375
K 0.750 0.750 0.750

---

Entry 17:
Here is K2CaTaCd at its PBEsol-relaxed geometry from Alexandria. Energies are from SCAN.

The volume is 43.27 Å³/atom. The energy comes out at -23.4081 eV per atom.

a b c (Å): 5.449 6.301 6.301
angles (deg): 90.00 90.00 90.00
Last column: magnetic moment on the atom in μB.
Fractional coordinates of all 5 atoms:
Cd 0.500 0.000 0.000  0.07
K 0.000 0.000 0.500  0.06
K 0.000 0.500 0.000  0.06
Ca 0.500 0.500 0.500  0.00
Ta 0.000 0.000 0.000  2.20

---

Entry 18:
Here is Ca2LaCd at its PBEsol-relaxed geometry from Alexandria. Energies are from SCAN.

The volume is 33.51 Å³/atom. The energy comes out at -23.4072 eV per atom.

a b c (Å): 3.723 3.723 9.669
angles (deg): 90.00 90.00 90.00
Last column: magnetic moment on the atom in μB.
Fractional coordinates of all 4 atoms:
Cd 0.000 0.000 0.495  0.01
Ca 0.000 0.000 0.000  0.01
Ca 0.500 0.500 0.301  0.02
La 0.500 0.500 0.704  -0.09

---

Entry 19:
Here is CaLa2Cd2 at its PBEsol-relaxed geometry from Alexandria. Energies are from SCAN.

The energy above the most stable polymorph in this dataset is 0 meV per atom. The volume is 30.84 Å³/atom.

a b c (Å): 3.783 9.029 9.029
angles (deg): 90.00 90.00 90.00
Last column: magnetic moment on the atom in μB.
Fractional coordinates of all 10 atoms:
La 0.500 0.669 0.831  -0.14
La 0.500 0.169 0.669  -0.14
La 0.500 0.331 0.169  -0.14
La 0.500 0.831 0.331  -0.14
Ca 0.000 0.000 0.000  -0.02
Ca 0.000 0.500 0.500  -0.02
Cd 0.000 0.126 0.374  -0.01
Cd 0.000 0.374 0.874  -0.01
Cd 0.000 0.874 0.626  -0.01
Cd 0.000 0.626 0.126  -0.01

---

Entry 20:
Here is Ca2LaCd at its PBEsol-relaxed geometry from Alexandria. Energies are from SCAN.

The volume is 32.18 Å³/atom. The energy comes out at -23.3643 eV per atom.

a b c (Å): 3.605 3.605 9.904
angles (deg): 90.00 90.00 90.00
Last column: magnetic moment on the atom in μB.
Fractional coordinates of all 4 atoms:
Ca 0.000 0.000 0.796  0.00
Ca 0.000 0.000 0.204  0.00
La 0.500 0.500 0.500  -0.16
Cd 0.500 0.500 0.000  0.00

---

Entry 21:
Here is CaLaCd4 at its PBEsol-relaxed geometry from Alexandria. Energies are from SCAN.

The volume is 24.52 Å³/atom. The energy comes out at -29.4877 eV per atom.

a b c (Å): 5.925 5.925 5.925
angles (deg): 60.00 60.00 60.00
Fractional coordinates of all 6 atoms:
Cd 0.375 0.874 0.375
Cd 0.874 0.375 0.375
Cd 0.375 0.375 0.375
Cd 0.375 0.375 0.874
La 0.750 0.750 0.750
Ca 0.000 0.000 0.000

---

Entry 22:
Here is CaLa4Cd at its PBEsol-relaxed geometry from Alexandria. Energies are from SCAN.

The volume is 33.56 Å³/atom. The energy comes out at -35.2515 eV per atom.

a b c (Å): 6.579 6.579 6.579
angles (deg): 60.00 60.00 60.00
Fractional coordinates of all 6 atoms:
Ca 0.750 0.750 0.750
La 0.372 0.372 0.884
La 0.884 0.372 0.372
La 0.372 0.372 0.372
La 0.372 0.884 0.372
Cd 0.000 0.000 0.000

---

Entry 23:
Here is CaLa2Cd2 at its PBEsol-relaxed geometry from Alexandria. Energies are from SCAN.

The energy above the most stable polymorph in this dataset is 147 meV per atom. The volume is 31.41 Å³/atom.

a b c (Å): 4.629 4.629 8.025
angles (deg): 106.76 106.76 90.00
Fractional coordinates of all 5 atoms:
Cd 0.593 0.593 0.185
Cd 0.407 0.407 0.815
Ca 0.000 0.000 0.000
La 0.750 0.250 0.500
La 0.250 0.750 0.500

---

Entry 24:
Here is Ca2LaCd at its PBEsol-relaxed geometry from Alexandria. Energies are from SCAN.

The volume is 33.32 Å³/atom. The energy comes out at -23.2599 eV per atom.

a b c (Å): 3.718 3.718 11.337
angles (deg): 80.56 80.56 60.00
Last column: magnetic moment on the atom in μB.
Fractional coordinates of all 4 atoms:
Ca 0.761 0.761 0.717  -0.01
Ca 0.239 0.239 0.283  -0.01
Cd 0.500 0.500 0.500  0.00
La 0.000 0.000 0.000  -0.07

---

Entry 25:
Here is Ca2LaCd at its PBEsol-relaxed geometry from Alexandria. Energies are from SCAN.

The volume is 31.86 Å³/atom. The energy comes out at -23.2583 eV per atom.

a b c (Å): 4.881 4.881 6.367
angles (deg): 112.54 112.54 90.00
Fractional coordinates of all 4 atoms:
Ca 0.750 0.250 0.500
Ca 0.250 0.750 0.500
La 0.000 0.000 0.000
Cd 0.500 0.500 0.000

---

Entry 26:
Here is Ca2LaCd at its PBEsol-relaxed geometry from Alexandria. Energies are from SCAN.

The volume is 32.85 Å³/atom. The energy comes out at -23.3682 eV per atom.

a b c (Å): 3.862 5.738 6.865
angles (deg): 114.70 106.33 90.00
Last column: magnetic moment on the atom in μB.
Fractional coordinates of all 4 atoms:
Cd 0.500 0.000 0.000  0.00
Ca 0.787 0.787 0.574  -0.01
Ca 0.213 0.213 0.426  -0.01
La 0.000 0.500 0.000  -0.11

---

Entry 27:
Here is Ca2LaCd at its PBEsol-relaxed geometry from Alexandria. Energies are from SCAN.

The volume is 31.78 Å³/atom. The energy comes out at -23.3442 eV per atom.

a b c (Å): 4.407 5.303 5.440
angles (deg): 90.00 90.00 90.00
Fractional coordinates of all 4 atoms:
Cd 0.500 0.000 0.500
Ca 0.500 0.500 0.000
Ca 0.000 0.000 0.000
La 0.000 0.500 0.500

---

Entry 28:
Here is LiCaCd2 at its PBEsol-relaxed geometry from Alexandria. Energies are from SCAN.

The energy above the most stable polymorph in this dataset is 321 meV per atom. The volume is 25.42 Å³/atom.

a b c (Å): 3.504 3.504 9.772
angles (deg): 79.67 79.67 60.00
Fractional coordinates of all 4 atoms:
Ca 0.253 0.253 0.240
Cd 0.751 0.751 0.746
Cd 0.007 0.007 0.978
Li 0.488 0.488 0.536

---

Entry 29:
Here is LiCaCd at its PBEsol-relaxed geometry from Alexandria. Energies are from SCAN.

The energy above the most stable polymorph in this dataset is 18 meV per atom. The volume is 25.49 Å³/atom.

a b c (Å): 3.746 4.854 4.854
angles (deg): 120.00 90.00 90.00
Fractional coordinates of all 3 atoms:
Ca 0.500 0.000 0.000
Cd 0.000 0.333 0.667
Li 0.000 0.667 0.333

---

Entry 30:
Here is LiCaCd2 at its PBEsol-relaxed geometry from Alexandria. Energies are from SCAN.

The energy above the most stable polymorph in this dataset is 0 meV per atom. The volume is 21.83 Å³/atom.

a b c (Å): 4.983 4.978 4.983
angles (deg): 59.96 90.00 120.04
Fractional coordinates of all 4 atoms:
Li 0.000 0.000 0.000
Ca 0.250 0.500 0.250
Cd 0.750 0.500 0.750
Cd 0.500 0.000 0.500